NaTbMnF6 | PBE with a Hubbard U | relaxed

Structure (POSCAR):
```
NaTbMnF6
1.0
5.824 0.000 0.000
-2.912 5.043 0.000
0.000 0.000 9.494
F Na Tb Mn
12 2 2 2
direct
0.992 0.349 0.634
0.357 0.008 0.634
0.008 0.357 0.134
0.643 0.992 0.366
0.651 0.008 0.866
0.992 0.643 0.866
0.349 0.357 0.366
0.008 0.651 0.366
0.357 0.349 0.866
0.643 0.651 0.134
0.349 0.992 0.134
0.651 0.643 0.634
0.000 0.000 0.500
0.000 0.000 0.000
0.667 0.333 0.250
0.333 0.667 0.750
0.667 0.333 0.750
0.333 0.667 0.250
```

Results
Mass density   4.2 Mg/m³
Total DFT energy (no corrections)   -108.6 eV for the cell shown